Computed, not measured: a relaxed structure of LaZr2Se at the PBE level of DFT.

Cell: 9.5738 9.5738 9.5738 Å, 21.46 21.46 21.46°
Closest atoms and distances in Å follow each position.
Fractional coordinates of all 4 atoms:
Zr  0.0104  0.0104  0.0104  3 Se 2.73
Zr  0.2583  0.2583  0.2583  3 Zr 3.16, 3 La 3.52
Se  0.7412  0.7412  0.7412  3 Zr 2.73
La  0.4901  0.4901  0.4901  3 Se 3.09

Values from the calculation:
Its symmetry is R3m (160). The calculation puts the density at 6.46 g/cm³. The calculated volume comes out at 25.72 A^3/atom. The calculation puts the uncorrected formation energy at -546 meV/atom.